Record 1
VASP calculation (PBE) on a geometry-optimized CaSeBr structure.

abc: 7.912 7.911 3.507
angles: 77.20 77.18 25.61
Positions (direct):
Ca  0.340  0.340  0.660
Se  0.709  0.709  0.291
Br  0.951  0.951  0.049

Calculated values
**Total energy**: -3.6167 eV/atom

---

Record 2
VASP calculation (PBE) on a geometry-optimized CaSe3Br structure.

abc: 5.710 5.710 5.710
angles: 90.00 90.00 90.00
Last column: magnetic moment on the atom in μB.
Positions (direct):
Br  0.500  0.500  0.500  0.55
Se  0.000  0.000  0.500  0.94
Se  0.500  0.000  0.000  0.79
Se  0.000  0.500  0.000  0.85
Ca  0.000  0.000  0.000  -0.01

Calculated values
**Total energy**: -2.6817 eV/atom

---

Record 3
VASP calculation (PBE) on a geometry-optimized CaSe3Br structure.

abc: 5.208 5.208 5.208
angles: 90.00 90.00 90.00
Positions (direct):
Se  0.000  0.500  0.000
Se  0.000  0.000  0.500
Se  0.500  0.000  0.000
Ca  0.500  0.500  0.500
Br  0.000  0.000  0.000

Calculated values
**Total energy**: -2.8952 eV/atom

---

Record 4
VASP calculation (PBE) on a geometry-optimized CaSiSe2Br structure.

abc: 5.481 5.481 5.369
angles: 90.00 90.00 90.00
Positions (direct):
Se  0.000  0.500  0.000
Se  0.500  0.000  0.000
Ca  0.000  0.000  0.000
Br  0.000  0.000  0.500
Si  0.500  0.500  0.500

Calculated values
**Total energy**: -3.1283 eV/atom

---

Record 5
VASP calculation (PBE) on a geometry-optimized CaSiSe2Br structure.

abc: 4.982 4.982 5.081
angles: 90.00 90.00 90.00
Positions (direct):
Br  0.000  0.000  0.500
Ca  0.500  0.500  0.500
Se  0.000  0.500  0.000
Se  0.500  0.000  0.000
Si  0.000  0.000  0.000

Calculated values
**Total energy**: -3.8830 eV/atom

---

Record 6
VASP calculation (PBE) on a geometry-optimized CaSnSe2Br structure.

abc: 5.470 5.470 5.431
angles: 90.00 90.00 90.00
Positions (direct):
Br  0.000  0.000  0.500
Sn  0.500  0.500  0.500
Ca  0.000  0.000  0.000
Se  0.500  0.000  0.000
Se  0.000  0.500  0.000

Calculated values
**Total energy**: -3.4024 eV/atom

---

Record 7
VASP calculation (PBE) on a geometry-optimized CaSnSe2Br structure.

abc: 5.373 5.373 5.423
angles: 90.00 90.00 90.00
Positions (direct):
Se  0.000  0.500  0.000
Se  0.500  0.000  0.000
Ca  0.500  0.500  0.500
Sn  0.000  0.000  0.000
Br  0.000  0.000  0.500

Calculated values
**Total energy**: -3.5885 eV/atom

---

Record 8
VASP calculation (PBE) on a geometry-optimized Sr2CaSe2Br2 structure.

abc: 5.521 5.521 8.747
angles: 108.40 108.40 90.00
Positions (direct):
Se  0.000  0.500  0.000
Se  0.500  0.000  0.000
Br  0.807  0.807  0.614
Br  0.193  0.193  0.386
Sr  0.384  0.384  0.767
Sr  0.616  0.616  0.233
Ca  0.000  0.000  0.000

Calculated values
**Total energy**: -4.1280 eV/atom

---

Record 9
VASP calculation (PBE) on a geometry-optimized SrCaSeBr2 structure.

abc: 5.846 5.810 5.846
angles: 90.00 90.00 90.00
Positions (direct):
Sr  0.000  0.500  0.000
Ca  0.500  0.500  0.500
Br  0.000  0.000  0.500
Br  0.500  0.000  0.000
Se  0.000  0.000  0.000

Calculated values
**Total energy**: -2.5802 eV/atom

---

Record 10
VASP calculation (PBE) on a geometry-optimized SrCaSeBr2 structure.

abc: 5.438 5.438 5.722
angles: 90.00 90.00 90.00
Positions (direct):
Sr  0.500  0.500  0.500
Br  0.000  0.500  0.000
Br  0.500  0.000  0.000
Ca  0.000  0.000  0.000
Se  0.000  0.000  0.500

Calculated values
**Total energy**: -3.7727 eV/atom

---

Record 11
VASP calculation (PBE) on a geometry-optimized SrCaSeBr2 structure.

abc: 5.659 5.659 6.003
angles: 90.00 90.00 90.00
Positions (direct):
Se  0.000  0.000  0.500
Br  0.500  0.000  0.000
Br  0.000  0.500  0.000
Ca  0.500  0.500  0.500
Sr  0.000  0.000  0.000

Calculated values
**Total energy**: -3.4602 eV/atom

---

Record 12
VASP calculation (PBE) on a geometry-optimized CaTaSe2Br structure.

abc: 5.400 5.400 5.176
angles: 90.00 90.00 90.00
Last column: magnetic moment on the atom in μB.
Positions (direct):
Ta  0.500  0.500  0.500  2.02
Ca  0.000  0.000  0.000  0.00
Se  0.000  0.500  0.000  -0.29
Se  0.500  0.000  0.000  -0.29
Br  0.000  0.000  0.500  -0.05

Calculated values
**Total energy**: -4.0011 eV/atom

---

Record 13
VASP calculation (PBE) on a geometry-optimized CaTaSe2Br structure.

abc: 5.075 5.075 5.173
angles: 90.00 90.00 90.00
Positions (direct):
Ca  0.500  0.500  0.500
Se  0.500  0.000  0.000
Se  0.000  0.500  0.000
Br  0.000  0.000  0.500
Ta  0.000  0.000  0.000

Calculated values
**Total energy**: -5.1775 eV/atom

---

Record 14
VASP calculation (PBE) on a geometry-optimized CaTaSe2Br structure.

abc: 5.447 5.058 5.447
angles: 90.00 90.00 90.00
Last column: magnetic moment on the atom in μB.
Positions (direct):
Se  0.500  0.000  0.000  -0.05
Se  0.000  0.000  0.500  -0.08
Ta  0.500  0.500  0.500  2.17
Ca  0.000  0.500  0.000  0.05
Br  0.000  0.000  0.000  0.01

Calculated values
**Total energy**: -3.5669 eV/atom

---

Record 15
VASP calculation (PBE) on a geometry-optimized CaTeSe2Br structure.

abc: 5.589 5.589 5.252
angles: 90.00 90.00 90.00
Positions (direct):
Se  0.000  0.500  0.000
Se  0.500  0.000  0.000
Ca  0.000  0.000  0.000
Br  0.000  0.000  0.500
Te  0.500  0.500  0.500

Calculated values
**Total energy**: -2.8986 eV/atom

---

Record 16
VASP calculation (PBE) on a geometry-optimized CaTeSe2Br structure.

abc: 5.494 5.494 5.362
angles: 90.00 90.00 90.00
Positions (direct):
Br  0.000  0.000  0.500
Se  0.000  0.500  0.000
Se  0.500  0.000  0.000
Ca  0.500  0.500  0.500
Te  0.000  0.000  0.000

Calculated values
**Total energy**: -3.1981 eV/atom

---

Record 17
VASP calculation (PBE) on a geometry-optimized CaTlSeBr2 structure.

abc: 5.660 5.660 5.735
angles: 90.00 90.00 90.00
Last column: magnetic moment on the atom in μB.
Positions (direct):
Tl  0.500  0.500  0.500  0.01
Br  0.000  0.500  0.000  0.06
Br  0.500  0.000  0.000  0.06
Se  0.000  0.000  0.500  0.49
Ca  0.000  0.000  0.000  -0.01

Calculated values
**Total energy**: -3.2804 eV/atom

---

Record 18
VASP calculation (PBE) on a geometry-optimized CaTlSe2Br structure.

abc: 5.621 5.621 5.699
angles: 90.00 90.00 90.00
Last column: magnetic moment on the atom in μB.
Positions (direct):
Se  0.500  0.000  0.000  0.49
Se  0.000  0.500  0.000  0.49
Ca  0.000  0.000  0.000  0.00
Br  0.000  0.000  0.500  0.10
Tl  0.500  0.500  0.500  0.00

Calculated values
**Total energy**: -3.2435 eV/atom

---

Record 19
VASP calculation (PBE) on a geometry-optimized CaTlSeBr2 structure.

abc: 5.729 5.729 5.414
angles: 90.00 90.00 90.00
Positions (direct):
Se  0.000  0.000  0.500
Ca  0.500  0.500  0.500
Tl  0.000  0.000  0.000
Br  0.500  0.000  0.000
Br  0.000  0.500  0.000

Calculated values
**Total energy**: -2.8805 eV/atom

---

Record 20
VASP calculation (PBE) on a geometry-optimized CaTlSe2Br structure.

abc: 5.379 5.379 5.629
angles: 90.00 90.00 90.00
Positions (direct):
Tl  0.000  0.000  0.000
Ca  0.500  0.500  0.500
Se  0.500  0.000  0.000
Se  0.000  0.500  0.000
Br  0.000  0.000  0.500

Calculated values
**Total energy**: -3.0868 eV/atom

---

Record 21
VASP calculation (PBE) on a geometry-optimized CaVSe2Br structure.

abc: 4.978 4.978 5.085
angles: 90.00 90.00 90.00
Last column: magnetic moment on the atom in μB.
Positions (direct):
Ca  0.500  0.500  0.500  0.02
V  0.000  0.000  0.000  1.91
Se  0.500  0.000  0.000  -0.06
Se  0.000  0.500  0.000  -0.06
Br  0.000  0.000  0.500  0.01

Calculated values
**Total energy**: -4.8199 eV/atom

---

Record 22
VASP calculation (PBE) on a geometry-optimized CaVSe2Br structure.

abc: 5.488 5.488 5.352
angles: 90.00 90.00 90.00
Last column: magnetic moment on the atom in μB.
Positions (direct):
Se  0.500  0.000  0.000  -0.33
Se  0.000  0.500  0.000  -0.33
V  0.500  0.500  0.500  3.04
Br  0.000  0.000  0.500  -0.07
Ca  0.000  0.000  0.000  0.00

Calculated values
**Total energy**: -3.9055 eV/atom

---

Record 23
VASP calculation (PBE) on a geometry-optimized CaWSeBr2 structure.

abc: 5.291 5.291 4.854
angles: 90.00 90.00 90.00
Last column: magnetic moment on the atom in μB.
Positions (direct):
W  0.000  0.000  0.000  0.70
Ca  0.500  0.500  0.500  0.01
Se  0.000  0.000  0.500  -0.02
Br  0.500  0.000  0.000  0.02
Br  0.000  0.500  0.000  0.02

Calculated values
**Total energy**: -4.5134 eV/atom

---

Record 24
VASP calculation (PBE) on a geometry-optimized CaWSeBr2 structure.

abc: 5.333 5.333 5.828
angles: 90.00 90.00 90.00
Last column: magnetic moment on the atom in μB.
Positions (direct):
Se  0.000  0.000  0.500  -0.38
Br  0.500  0.000  0.000  -0.01
Br  0.000  0.500  0.000  -0.01
W  0.500  0.500  0.500  3.41
Ca  0.000  0.000  0.000  0.00

Calculated values
**Total energy**: -3.8844 eV/atom

---

Record 25
VASP calculation (PBE) on a geometry-optimized CaZnSe2Br structure.

abc: 4.917 4.917 5.389
angles: 90.00 90.00 90.00
Positions (direct):
Ca  0.500  0.500  0.500
Se  0.500  0.000  0.000
Se  0.000  0.500  0.000
Br  0.000  0.000  0.500
Zn  0.000  0.000  0.000

Calculated values
**Total energy**: -3.1113 eV/atom

---

Record 26
VASP calculation (PBE) on a geometry-optimized CaZnSeBr2 structure.

abc: 5.499 5.499 5.872
angles: 90.00 90.00 90.00
Positions (direct):
Se  0.000  0.000  0.500
Br  0.500  0.000  0.000
Br  0.000  0.500  0.000
Zn  0.500  0.500  0.500
Ca  0.000  0.000  0.000

Calculated values
**Total energy**: -2.5767 eV/atom

---

Record 27
VASP calculation (PBE) on a geometry-optimized CaZnSe2Br structure.

abc: 5.723 5.723 5.577
angles: 90.00 90.00 90.00
Last column: magnetic moment on the atom in μB.
Positions (direct):
Zn  0.500  0.500  0.500  0.16
Se  0.500  0.000  0.000  0.70
Se  0.000  0.500  0.000  0.70
Ca  0.000  0.000  0.000  -0.01
Br  0.000  0.000  0.500  0.12

Calculated values
**Total energy**: -2.5692 eV/atom

---

Record 28
VASP calculation (PBE) on a geometry-optimized CaZnSeBr2 structure.

abc: 5.106 5.106 5.170
angles: 90.00 90.00 90.00
Positions (direct):
Zn  0.000  0.000  0.000
Se  0.000  0.000  0.500
Br  0.000  0.500  0.000
Br  0.500  0.000  0.000
Ca  0.500  0.500  0.500

Calculated values
**Total energy**: -2.9371 eV/atom

---

Record 29
VASP calculation (PBE) on a geometry-optimized CaZn2SeBr structure.

abc: 6.040 5.302 6.040
angles: 90.00 90.00 90.00
Last column: magnetic moment on the atom in μB.
Positions (direct):
Ca  0.000  0.000  0.000  -0.01
Zn  0.500  0.000  0.000  0.01
Zn  0.000  0.000  0.500  0.01
Br  0.000  0.500  0.000  0.01
Se  0.500  0.500  0.500  0.61

Calculated values
**Total energy**: -1.8020 eV/atom